# 1
Entry from Alexandria: a relaxed Na3NpSb3S8 crystal (PBE).

The formation energy without anion corrections is -770 meV per atom. The value obtained for the total moment is 3.000 μB per formula unit.

Cell and atoms, written as CIF:
```
data_Na3NpSb3S8
_space_group_name_H-M_alt 'R -3 m'
_space_group_IT_number 166
_space_group_name_Hall '-R 3 2"'
_cell_length_a 8.0077
_cell_length_b 8.0077
_cell_length_c 20.2978
_cell_angle_alpha 90.00
_cell_angle_beta 90.00
_cell_angle_gamma 120.00
loop_
_atom_site_label
_atom_site_type_symbol
_atom_site_fract_x
_atom_site_fract_y
_atom_site_fract_z
_atom_site_occupancy
Na1 Na 0.0000 0.5000 0.0000 1
Np1 Np 0.0000 0.0000 0.5000 1
Sb1 Sb 0.0000 0.5000 0.5000 1
S1 S 0.0000 0.0000 0.2438 1
S2 S 0.0089 0.5044 0.2396 1
```


# 2
Entry from Alexandria: a relaxed Na3Np3SbS8 crystal (PBE).

The formation energy without anion corrections is -1164 meV per atom. The value obtained for the total moment is 11.000 μB per formula unit.

Cell and atoms, written as CIF:
```
data_Na3Np3SbS8
_space_group_name_H-M_alt 'R -3 m'
_space_group_IT_number 166
_space_group_name_Hall '-R 3 2"'
_cell_length_a 8.0394
_cell_length_b 8.0394
_cell_length_c 19.9314
_cell_angle_alpha 90.00
_cell_angle_beta 90.00
_cell_angle_gamma 120.00
loop_
_atom_site_label
_atom_site_type_symbol
_atom_site_fract_x
_atom_site_fract_y
_atom_site_fract_z
_atom_site_occupancy
Na1 Na 0.0000 0.5000 0.0000 1
Np1 Np 0.0000 0.5000 0.5000 1
Sb1 Sb 0.0000 0.0000 0.5000 1
S1 S 0.0000 0.0000 0.2418 1
S2 S 0.0023 0.5012 0.7597 1
```


# 3
Entry from Alexandria: a relaxed Na3Np2ScS6 crystal (PBE).

The formation energy without anion corrections is -1469 meV per atom. The value obtained for the total moment is 8.000 μB per formula unit.

Cell and atoms, written as CIF:
```
data_Na3Np2ScS6
_space_group_name_H-M_alt 'C 1 2/m 1'
_space_group_IT_number 12
_space_group_name_Hall '-C 2y'
_cell_length_a 6.8134
_cell_length_b 11.8067
_cell_length_c 7.0371
_cell_angle_alpha 90.00
_cell_angle_beta 108.85
_cell_angle_gamma 90.00
loop_
_atom_site_label
_atom_site_type_symbol
_atom_site_fract_x
_atom_site_fract_y
_atom_site_fract_z
_atom_site_occupancy
Na1 Na 0.0000 0.0000 0.0000 1
Na2 Na 0.0000 0.3335 0.0000 1
Np1 Np 0.0000 0.1667 0.5000 1
Sc1 Sc 0.0000 0.5000 0.5000 1
S1 S 0.2358 0.3390 0.7242 1
S2 S 0.2476 0.5000 0.2773 1
```


# 4
Entry from Alexandria: a relaxed Na4NpSc3S8 crystal (PBE).

The formation energy without anion corrections is -1628 meV per atom. The value obtained for the total moment is 4.010 μB per formula unit.

Cell and atoms, written as CIF:
```
data_Na4NpSc3S8
_space_group_name_H-M_alt 'R -3 m'
_space_group_IT_number 166
_space_group_name_Hall '-R 3 2"'
_cell_length_a 7.6692
_cell_length_b 7.6692
_cell_length_c 19.9397
_cell_angle_alpha 90.00
_cell_angle_beta 90.00
_cell_angle_gamma 120.00
loop_
_atom_site_label
_atom_site_type_symbol
_atom_site_fract_x
_atom_site_fract_y
_atom_site_fract_z
_atom_site_occupancy
Na1 Na 0.0000 0.0000 0.0000 1
Na2 Na 0.0000 0.5000 0.0000 1
Np1 Np 0.0000 0.0000 0.5000 1
Sc1 Sc 0.0000 0.5000 0.5000 1
S1 S 0.0000 0.0000 0.2385 1
S2 S 0.0118 0.5059 0.7599 1
```


# 5
Entry from Alexandria: a relaxed Na3Np3ScS8 crystal (PBE).

The formation energy without anion corrections is -1448 meV per atom. The value obtained for the total moment is 11.000 μB per formula unit.

Cell and atoms, written as CIF:
```
data_Na3Np3ScS8
_space_group_name_H-M_alt 'R -3 m'
_space_group_IT_number 166
_space_group_name_Hall '-R 3 2"'
_cell_length_a 7.9038
_cell_length_b 7.9038
_cell_length_c 20.0511
_cell_angle_alpha 90.00
_cell_angle_beta 90.00
_cell_angle_gamma 120.00
loop_
_atom_site_label
_atom_site_type_symbol
_atom_site_fract_x
_atom_site_fract_y
_atom_site_fract_z
_atom_site_occupancy
Na1 Na 0.0000 0.5000 0.0000 1
Np1 Np 0.0000 0.5000 0.5000 1
Sc1 Sc 0.0000 0.0000 0.5000 1
S1 S 0.0000 0.0000 0.2420 1
S2 S 0.0116 0.5058 0.2385 1
```


# 6
Entry from Alexandria: a relaxed Na2Np2ScS6 crystal (PBE).

The formation energy without anion corrections is -1473 meV per atom. The value obtained for the total moment is 7.000 μB per formula unit.

Cell and atoms, written as CIF:
```
data_Na2Np2ScS6
_space_group_name_H-M_alt 'C 1 2/m 1'
_space_group_IT_number 12
_space_group_name_Hall '-C 2y'
_cell_length_a 6.7959
_cell_length_b 11.7212
_cell_length_c 7.0690
_cell_angle_alpha 90.00
_cell_angle_beta 108.36
_cell_angle_gamma 90.00
loop_
_atom_site_label
_atom_site_type_symbol
_atom_site_fract_x
_atom_site_fract_y
_atom_site_fract_z
_atom_site_occupancy
Na1 Na 0.0000 0.1666 0.0000 1
Np1 Np 0.0000 0.3347 0.5000 1
Sc1 Sc 0.0000 0.0000 0.5000 1
S1 S 0.2325 0.1639 0.7159 1
S2 S 0.2474 0.0000 0.2838 1
```


Number 1: density 4.100 g/cm3. Number 2: density 5.172 g/cm3. Number 3: density 4.837 g/cm3. Number 4: density 3.533 g/cm3. Number 5: density 4.966 g/cm3. Number 6: density 4.706 g/cm3.